# 1
## Mg2CoHg (GGA-PBE)

Data for a relaxed Mg2CoHg crystal.

Lattice parameters (Å, degrees): 3.0554 3.0554 28.2216 90.00 90.00 120.00
Space group R3m (No. 160, hexagonal axes)
Symmetry-distinct sites (fractional):
Mg  0.0000  0.0000  0.0000
Mg  0.0000  0.0000  0.2362
Co  0.0000  0.0000  0.7369
Hg  0.0000  0.0000  0.4797

total magnetization = 3.94 Bohr magnetons per cell
volume = 228 Å³ per cell
crystal system = trigonal
ΔH_f (0 K) = 248 meV per atom

---

# 2
## Na7Tl2In (GGA-PBE)

Data for a relaxed Na7Tl2In crystal.

Lattice parameters (Å, degrees): 9.0018 15.9141 5.4486 90.00 90.00 90.00
Space group Cmmm (No. 65)
Symmetry-distinct sites (fractional):
Na  0.0000  0.0000  0.0000
Na  0.0000  0.2886  0.5000
Na  0.1799  0.3872  0.0000
Tl  0.0000  0.2002  0.0000
In  0.0000  0.5000  0.5000

total magnetization = 0.00 Bohr magnetons per cell
volume = 781 Å³ per cell
crystal system = orthorhombic
ΔH_f (0 K) = 126 meV per atom

---

What is the ΔH_f (0 K) in the second record?
126 meV per atom

---

What is the volume in the second record?
781 Å³ per cell